Entry w
TeW | PBE | relaxed

Unit cell a=11.782 b=11.782 c=3.516 alpha=90.00 beta=90.00 gamma=90.00
Fractional positions:
Te1 0.440 0.789 0.000
Te2 0.560 0.211 0.000
Te3 0.211 0.440 0.000
Te4 0.789 0.560 0.000
Te5 0.940 0.289 0.500
Te6 0.060 0.711 0.500
Te7 0.711 0.940 0.500
Te8 0.289 0.060 0.500
W1 0.327 0.231 0.000
W2 0.673 0.769 0.000
W3 0.769 0.327 0.000
W4 0.231 0.673 0.000
W5 0.827 0.731 0.500
W6 0.173 0.269 0.500
W7 0.269 0.827 0.500
W8 0.731 0.173 0.500

Summary:
Its density of states at the Fermi level is 10.09 states/eV/cell. Its magnetic moment is 0.00 μB/f.u.

Entry x
TeW | PBE | relaxed

Unit cell a=3.174 b=3.174 c=4.472 alpha=90.00 beta=90.00 gamma=116.82
Fractional positions:
Te1 0.000 0.000 0.000
W1 0.500 0.500 0.500

Summary:
Its density of states at the Fermi level is 1.98 states/eV/cell. Its magnetic moment is 0.00 μB/f.u.

Of them, the most stable is entry w and the least stable is entry x.

Entry w
TeW | PBE | relaxed

Unit cell a=8.194 b=5.186 c=10.009 alpha=90.00 beta=90.00 gamma=90.00
Fractional positions:
Te1 0.332 0.053 0.130
Te2 0.832 0.447 0.870
Te3 0.668 0.553 0.370
Te4 0.168 0.947 0.630
Te5 0.266 0.519 0.887
Te6 0.766 0.981 0.113
Te7 0.734 0.019 0.613
Te8 0.234 0.481 0.387
W1 0.540 0.206 0.917
W2 0.040 0.294 0.083
W3 0.460 0.706 0.583
W4 0.960 0.794 0.417
W5 0.559 0.734 0.816
W6 0.059 0.766 0.184
W7 0.441 0.234 0.684
W8 0.941 0.266 0.316

Summary:
Its density of states at the Fermi level is 5.15 states/eV/cell. Its magnetic moment is 0.00 μB/f.u.

Entry x
TeW | PBE | relaxed

Unit cell a=7.102 b=7.102 c=6.862 alpha=65.19 beta=65.19 gamma=27.68
Fractional positions:
Te1 0.979 0.979 0.109
Te2 0.638 0.638 0.608
Te3 0.353 0.353 0.712
W1 0.312 0.312 0.342
W2 0.119 0.119 0.306
W3 0.765 0.765 0.090

Summary:
Its density of states at the Fermi level is 2.68 states/eV/cell. Its magnetic moment is 0.00 μB/f.u.

Of them, the most stable is entry x and the least stable is entry w.

Entry w
TeW | PBE | relaxed

Unit cell a=11.841 b=11.841 c=3.608 alpha=90.00 beta=90.00 gamma=90.00
Fractional positions:
Te1 0.736 0.610 0.500
Te2 0.264 0.390 0.500
Te3 0.390 0.736 0.500
Te4 0.610 0.264 0.500
Te5 0.956 0.290 0.000
Te6 0.044 0.710 0.000
Te7 0.710 0.956 0.000
Te8 0.290 0.044 0.000
W1 0.808 0.386 0.500
W2 0.192 0.614 0.500
W3 0.614 0.808 0.500
W4 0.386 0.192 0.500
W5 0.887 0.518 0.000
W6 0.113 0.482 0.000
W7 0.482 0.887 0.000
W8 0.518 0.113 0.000

Summary:
Its density of states at the Fermi level is 8.92 states/eV/cell. Its magnetic moment is 0.00 μB/f.u.

Entry x
TeW | PBE | relaxed

Unit cell a=3.276 b=3.276 c=9.221 alpha=90.00 beta=90.00 gamma=120.00
Fractional positions:
Te1 0.333 0.667 0.393
Te2 0.667 0.333 0.893
W1 0.333 0.667 0.689
W2 0.667 0.333 0.189

Summary:
Its density of states at the Fermi level is 1.17 states/eV/cell. Its magnetic moment is 0.00 μB/f.u.

Of them, the most stable is entry w and the least stable is entry x.

Entry w
TeW | PBE | relaxed

Unit cell a=6.645 b=6.645 c=5.155 alpha=90.00 beta=90.00 gamma=90.00
Fractional positions:
Te1 0.219 0.781 0.000
Te2 0.719 0.719 0.500
Te3 0.281 0.281 0.500
Te4 0.781 0.219 0.000
W1 0.382 0.382 0.000
W2 0.882 0.118 0.500
W3 0.118 0.882 0.500
W4 0.618 0.618 0.000

Summary:
Its density of states at the Fermi level is 4.24 states/eV/cell. Its magnetic moment is 0.00 μB/f.u.

Entry x
TeW | PBE | relaxed

Unit cell a=3.239 b=3.238 c=8.295 alpha=90.00 beta=90.00 gamma=90.00
Fractional positions:
Te1 0.000 0.000 0.074
Te2 0.500 0.500 0.676
W1 0.000 0.000 0.479
W2 0.500 0.500 0.271

Summary:
Its density of states at the Fermi level is 3.16 states/eV/cell. Its magnetic moment is 0.00 μB/f.u.

Of them, the most stable is entry x and the least stable is entry w.

Entry w
TeW | PBE | relaxed

Unit cell a=9.251 b=9.251 c=9.251 alpha=159.49 beta=159.53 gamma=29.14
Fractional positions:
Te1 0.353 0.603 0.250
Te2 0.647 0.397 0.750
W1 0.943 0.193 0.250
W2 0.057 0.807 0.750

Summary:
Its density of states at the Fermi level is 1.76 states/eV/cell. Its magnetic moment is 0.00 μB/f.u.

Entry x
TeW | PBE | relaxed

Unit cell a=8.306 b=8.306 c=8.306 alpha=90.00 beta=90.00 gamma=90.00
Fractional positions:
Te1 0.200 0.200 0.200
Te2 0.200 0.800 0.800
Te3 0.800 0.200 0.800
Te4 0.800 0.800 0.200
Te5 0.700 0.700 0.700
Te6 0.700 0.300 0.300
Te7 0.300 0.700 0.300
Te8 0.300 0.300 0.700
W1 0.389 0.389 0.389
W2 0.389 0.611 0.611
W3 0.611 0.389 0.611
W4 0.611 0.611 0.389
W5 0.889 0.889 0.889
W6 0.889 0.111 0.111
W7 0.111 0.889 0.111
W8 0.111 0.111 0.889

Summary:
Its density of states at the Fermi level is 23.80 states/eV/cell. Its magnetic moment is 0.00 μB/f.u.

Of them, the most stable is entry w and the least stable is entry x.

Entry w
TeW | PBE | relaxed

Unit cell a=10.385 b=10.385 c=10.385 alpha=18.14 beta=18.14 gamma=18.14
Fractional positions:
Te1 0.977 0.977 0.977
Te2 0.773 0.773 0.773
W1 0.513 0.513 0.513
W2 0.237 0.237 0.237

Summary:
Its density of states at the Fermi level is 1.82 states/eV/cell. Its magnetic moment is 0.00 μB/f.u.

Entry x
TeW | PBE | relaxed

Unit cell a=4.760 b=4.760 c=7.167 alpha=81.93 beta=81.93 gamma=42.20
Fractional positions:
Te1 0.979 0.979 0.119
Te2 0.771 0.771 0.631
W1 0.233 0.233 0.328
W2 0.517 0.517 0.422

Summary:
Its density of states at the Fermi level is 0.99 states/eV/cell. Its magnetic moment is 0.00 μB/f.u.

Entry y
TeW | PBE | relaxed

Unit cell a=3.282 b=4.610 c=16.118 alpha=90.00 beta=90.00 gamma=90.00
Fractional positions:
Te1 0.000 0.742 0.686
Te2 0.500 0.258 0.814
Te3 0.500 0.258 0.186
Te4 0.000 0.742 0.314
Te5 0.000 0.117 0.000
Te6 0.500 0.883 0.500
W1 0.000 0.755 0.868
W2 0.500 0.245 0.632
W3 0.500 0.245 0.368
W4 0.000 0.755 0.132
W5 0.000 0.398 0.500
W6 0.500 0.602 0.000

Summary:
Its density of states at the Fermi level is 10.14 states/eV/cell. Its magnetic moment is 0.00 μB/f.u.

Of them, the most stable is entry w and the least stable is entry y.

Entry w
TeW3 | PBE | relaxed

Unit cell a=4.628 b=4.628 c=4.628 alpha=60.00 beta=60.00 gamma=60.00
Site moments in Bohr magnetons follow the coordinates.
Fractional positions:
Te1 0.000 0.000 0.000  0.01
W1 0.750 0.750 0.750  0.02
W2 0.500 0.500 0.500  0.18
W3 0.250 0.250 0.250  0.02

Summary:
Its density of states at the Fermi level is 5.27 states/eV/cell. Its magnetic moment is 0.30 μB/f.u.

Entry x
TeW3 | PBE | relaxed

Unit cell a=5.795 b=5.795 c=4.499 alpha=90.00 beta=90.00 gamma=101.77
Fractional positions:
Te1 0.632 0.368 0.750
Te2 0.368 0.632 0.250
W1 0.175 0.825 0.750
W2 0.825 0.175 0.250
W3 0.723 0.893 0.750
W4 0.277 0.107 0.250
W5 0.893 0.723 0.250
W6 0.107 0.277 0.750

Summary:
Its density of states at the Fermi level is 5.32 states/eV/cell. Its magnetic moment is 0.00 μB/f.u.

Entry y
TeW3 | PBE | relaxed

Unit cell a=5.642 b=5.642 c=10.133 alpha=90.00 beta=90.00 gamma=120.00
Fractional positions:
Te1 0.000 0.000 0.000
Te2 0.000 0.000 0.500
Te3 0.333 0.667 0.250
Te4 0.667 0.333 0.750
W1 0.500 0.000 0.000
W2 0.500 0.000 0.500
W3 0.000 0.500 0.000
W4 0.500 0.500 0.000
W5 0.500 0.500 0.500
W6 0.000 0.500 0.500
W7 0.830 0.660 0.250
W8 0.170 0.340 0.750
W9 0.340 0.170 0.250
W10 0.830 0.170 0.250
W11 0.170 0.830 0.750
W12 0.660 0.830 0.750

Summary:
Its density of states at the Fermi level is 15.87 states/eV/cell. Its magnetic moment is 0.00 μB/f.u.

Of them, the most stable is entry x and the least stable is entry y.

Entry w
TeW2 | PBE | relaxed

Unit cell a=5.565 b=5.565 c=6.725 alpha=83.46 beta=83.46 gamma=34.06
Fractional positions:
Te1 0.044 0.044 0.984
Te2 0.282 0.282 0.340
W1 0.693 0.693 0.661
W2 0.549 0.549 0.331
W3 0.961 0.961 0.616
W4 0.304 0.304 0.901

Summary:
Its density of states at the Fermi level is 3.71 states/eV/cell. Its magnetic moment is 0.00 μB/f.u.

Entry x
TeW2 | PBE | relaxed

Unit cell a=6.065 b=6.065 c=6.985 alpha=65.03 beta=65.03 gamma=30.39
Fractional positions:
Te1 0.327 0.327 0.628
Te2 0.673 0.673 0.372
W1 0.942 0.942 0.243
W2 0.631 0.631 0.009
W3 0.369 0.369 0.991
W4 0.058 0.058 0.757

Summary:
Its density of states at the Fermi level is 4.10 states/eV/cell. Its magnetic moment is 0.00 μB/f.u.

Of them, the most stable is entry x and the least stable is entry w.

Entry w
TeW2 | PBE | relaxed

Unit cell a=7.470 b=7.470 c=4.658 alpha=90.00 beta=90.00 gamma=155.32
Fractional positions:
Te1 0.616 0.384 0.750
Te2 0.384 0.616 0.250
W1 0.953 0.047 0.750
W2 0.288 0.712 0.750
W3 0.712 0.288 0.250
W4 0.047 0.953 0.250

Summary:
Its density of states at the Fermi level is 3.01 states/eV/cell. Its magnetic moment is 0.00 μB/f.u.

Entry x
TeW2 | PBE | relaxed

Unit cell a=3.249 b=3.249 c=6.471 alpha=90.00 beta=90.00 gamma=120.00
Fractional positions:
Te1 0.000 0.000 0.000
W1 0.667 0.333 0.633
W2 0.333 0.667 0.367

Summary:
Its density of states at the Fermi level is 1.47 states/eV/cell. Its magnetic moment is 0.00 μB/f.u.

Of them, the most stable is entry x and the least stable is entry w.

Entry w
TeW2 | PBE | relaxed

Unit cell a=5.853 b=5.853 c=5.853 alpha=148.50 beta=148.50 gamma=45.15
Fractional positions:
Te1 0.500 0.500 0.000
W1 0.177 0.177 0.000
W2 0.823 0.823 0.000

Summary:
Its density of states at the Fermi level is 2.64 states/eV/cell. Its magnetic moment is 0.00 μB/f.u.

Entry x
TeW2 | PBE | relaxed

Unit cell a=4.685 b=4.685 c=2.894 alpha=90.00 beta=90.00 gamma=120.00
Fractional positions:
Te1 0.000 0.000 0.000
W1 0.667 0.333 0.815
W2 0.333 0.667 0.185

Summary:
Its density of states at the Fermi level is 3.35 states/eV/cell. Its magnetic moment is 0.00 μB/f.u.

Entry y
TeW2 | PBE | relaxed

Unit cell a=9.699 b=9.699 c=4.296 alpha=90.00 beta=90.00 gamma=160.27
Fractional positions:
Te1 0.831 0.169 0.750
Te2 0.169 0.831 0.250
W1 0.064 0.936 0.750
W2 0.448 0.552 0.750
W3 0.552 0.448 0.250
W4 0.936 0.064 0.250

Summary:
Its density of states at the Fermi level is 2.48 states/eV/cell. Its magnetic moment is 0.00 μB/f.u.

Entry z
TeW2 | PBE | relaxed

Unit cell a=5.104 b=5.104 c=7.303 alpha=73.26 beta=73.26 gamma=37.14
Fractional positions:
Te1 0.005 0.005 0.228
Te2 0.995 0.995 0.772
W1 0.344 0.344 0.536
W2 0.701 0.701 0.864
W3 0.299 0.299 0.136
W4 0.656 0.656 0.464

Summary:
Its density of states at the Fermi level is 4.48 states/eV/cell. Its magnetic moment is 0.00 μB/f.u.

Of them, the most stable is entry y and the least stable is entry x.